The following is a PBE calculation of an optimized crystal structure of BaIr2Os, from the Alexandria database.

E_form = 1237 meV/atom
Final energy = -25.93 eV per cell

a = 5.094 Å, b = 5.094 Å, c = 5.094 Å
α = 130.06°, β = 130.06°, γ = 73.32°
Element x y z (fractional)
1 Os 0.500 0.500 0.000
2 Ir 0.000 0.000 0.000
3 Ba 0.750 0.250 0.500
4 Ir 0.250 0.750 0.500

---

The following is a PBE calculation of an optimized crystal structure of KNaTiBr6, from the Alexandria database.

ΔE_f (raw) = -1.36 eV per atom
Final energy = -32.62 eV per cell

a = 7.301 Å, b = 7.301 Å, c = 6.961 Å
α = 90.00°, β = 90.00°, γ = 59.99°
Element x y z (fractional)
1 Br 0.044 0.609 0.712
2 Na 0.667 0.667 0.500
3 Br 0.045 0.347 0.288
4 Br 0.609 0.044 0.288
5 Br 0.347 0.045 0.712
6 Br 0.608 0.347 0.712
7 Ti 0.333 0.333 0.500
8 K 0.000 0.000 0.000
9 Br 0.347 0.608 0.288

---

The following is a PBE calculation of an optimized crystal structure of KNa3Au, from the Alexandria database.

E_form = -114 meV/atom
Final energy = -8.90 eV per cell

a = 5.796 Å, b = 5.796 Å, c = 5.796 Å
α = 90.00°, β = 90.00°, γ = 90.00°
Element x y z (fractional)
1 K 0.500 0.500 0.500
2 Na 0.000 0.000 0.500
3 Na 0.000 0.500 0.000
4 Au 0.000 0.000 0.000
5 Na 0.500 0.000 0.000

---

The following is a PBE calculation of an optimized crystal structure of TePdSeN2, from the Alexandria database.

ΔE_f (raw) = 1.46 eV per atom
Final energy = -21.16 eV per cell

a = 3.764 Å, b = 3.764 Å, c = 7.040 Å
α = 90.00°, β = 90.00°, γ = 90.00°
Element x y z (fractional)
1 N 0.000 0.500 0.000
2 N 0.500 0.000 0.000
3 Se 0.000 0.000 0.000
4 Te 0.000 0.000 0.500
5 Pd 0.500 0.500 0.500

---

The following is a PBE calculation of an optimized crystal structure of BeH, from the Alexandria database.

Final energy = -12.28 eV per cell

a = 2.324 Å, b = 2.324 Å, c = 5.213 Å
α = 90.00°, β = 90.00°, γ = 120.00°
Element x y z (fractional)
1 H 0.333 0.667 0.383
2 H 0.667 0.333 0.883
3 Be 0.667 0.333 0.199
4 Be 0.333 0.667 0.699

---

The following is a PBE calculation of an optimized crystal structure of NpHSe, from the Alexandria database.

Final energy = -42.85 eV per cell

a = 4.010 Å, b = 4.008 Å, c = 9.764 Å
α = 104.72°, β = 89.98°, γ = 59.99°
Element x y z (fractional)
1 Np 0.105 0.783 0.650
2 H 0.796 0.401 0.591
3 Np 0.895 0.217 0.350
4 Se 0.369 0.254 0.818
5 Se 0.631 0.746 0.182
6 H 0.204 0.599 0.409

---

no.,magnetization (μB/cell)
1,0.00
2,0.00
3,0.00
4,0.74
5,0.00
6,8.00